CdCoSb2 after structural relaxation. Source: Alexandria via LeMat-Bulk, functional PBE-GGA.

Values from the calculation:
ΔE_f (raw) ... 0.46 eV/atom
Theoretical density ... 8.1 Mg/m³
M_tot ... 1.0 μB/cell

a = 4.626 Å, b = 4.623 Å, c = 3.982 Å
α = 90.00°, β = 90.00°, γ = 90.00°
Site moments in Bohr magnetons follow the coordinates.
Element x y z (fractional)
Cd1 0.500 0.000 0.500  0.00
Co1 0.000 0.500 0.500  1.10
Sb1 0.000 0.000 0.000  -0.02
Sb2 0.500 0.500 0.000  -0.02